Here is crystalline HfInPb at its relaxed geometry from the Open Quantum Materials Database. Energies are from PBE.

Output
Relative energy among the computed polymorphs = 0 meV per atom
Magnetic moment = 0.00 Bohr magnetons per cell

Cell: 6.994 6.994 6.994 Å, 90.00 90.00 90.00°
Space group F-43m (No. 216)
Asymmetric unit:
Hf 0.000 0.000 0.000
In 0.250 0.250 0.750
Pb 0.250 0.250 0.250